(1)
The following is a DFT calculation (meta-GGA SCAN) of a PBEsol-optimized structure of CoPPt3.

Results
- Raw total energy: -47.337 eV/atom
- Total magnetization: 2.16 μB per formula unit
- Space group: No. 221

Cell: 4.4048 4.4048 4.4048 Å, 90.00 90.00 90.00°
Last column: nearest neighbours and their distance in Å.
Atoms (fractional coordinates):
1 P 0.0000 0.0000 0.0000  6 Pt 2.20
2 Pt 0.5000 0.0000 0.0000  2 P 2.20
3 Pt 0.0000 0.5000 0.0000  2 P 2.20
4 Pt 0.0000 0.0000 0.5000  2 P 2.20
5 Co 0.5000 0.5000 0.5000  12 Pt 3.11

***

(2)
The following is a DFT calculation (meta-GGA SCAN) of a PBEsol-optimized structure of MgSc2Ti2.

Results
- Raw total energy: -12.597 eV/atom
- Total magnetization: 0.00 μB per formula unit
- Space group: No. 139

Cell: 4.0833 4.0833 7.0102 Å, 106.93 106.93 90.00°
Last column: nearest neighbours and their distance in Å.
Atoms (fractional coordinates):
1 Ti 0.4200 0.4200 0.8401  1 Ti 2.04
2 Sc 0.2500 0.7500 0.5000  4 Sc 2.89, 4 Ti 2.98
3 Mg 0.0000 0.0000 0.0000  8 Ti 3.06
4 Sc 0.7500 0.2500 0.5000  4 Sc 2.89, 4 Ti 2.98
5 Ti 0.5800 0.5800 0.1599  1 Ti 2.04

***

(3)
The following is a DFT calculation (meta-GGA SCAN) of a PBEsol-optimized structure of NbCd2BiRh.

Results
- Raw total energy: -39.866 eV/atom
- Total magnetization: 3.12 μB per formula unit
- Space group: No. 123

Cell: 4.8867 5.3297 5.3297 Å, 90.00 90.00 90.00°
Last column: nearest neighbours and their distance in Å.
Atoms (fractional coordinates):
1 Bi 0.0000 0.0000 0.0000  2 Rh 2.44, 4 Cd 2.66
2 Cd 0.0000 0.5000 0.0000  2 Bi 2.66
3 Nb 0.5000 0.5000 0.5000  8 Cd 3.62, 4 Rh 3.77
4 Rh 0.5000 0.0000 0.0000  2 Bi 2.44
5 Cd 0.0000 0.0000 0.5000  2 Bi 2.66

***

(4)
The following is a DFT calculation (meta-GGA SCAN) of a PBEsol-optimized structure of Nb9PO25.

Results
- Raw total energy: -15.984 eV/atom
- Total magnetization: 0.00 μB per formula unit
- Space group: No. 5

Cell: 3.8613 11.2988 11.2982 Å, 88.32 80.16 80.16°
Last column: nearest neighbours and their distance in Å.
Atoms (fractional coordinates):
1 O 0.7599 0.0449 0.3961  2 Nb 1.89-1.97
2 O 0.4177 0.6153 0.4861  1 P 1.54
3 O 0.9498 0.9372 0.1689  2 Nb 1.85-2.01
4 Nb 0.1074 0.5565 0.2156  3 O 1.81-1.97
5 Nb 0.7855 0.3278 0.1101  4 O 1.85-2.01
6 Nb 0.6751 0.2156 0.4435  3 O 1.81-1.97
7 O 0.3620 0.4901 0.7996  2 Nb 1.96-2.06
8 O 0.6039 0.1398 0.6346  2 Nb 1.99-2.01
9 O 0.9654 0.5139 0.6153  1 P 1.54
10 Nb 0.8795 0.4435 0.7844  3 O 1.81-1.97
11 O 0.3783 0.8602 0.3654  2 Nb 1.99-2.01
12 O 0.7598 0.6346 0.8602  2 Nb 1.99-2.01
13 O 0.1930 0.6038 0.0449  2 Nb 1.89-1.97
14 O 0.2901 0.7304 0.7097  1 Nb 1.81
15 Nb 0.0407 0.0000 0.0000  6 O 1.83-2.03
16 Nb 0.8847 0.8899 0.3277  4 O 1.85-2.01
17 O 0.7302 0.2696 0.2903  1 Nb 1.81
18 O 0.8891 0.1689 0.0629  2 Nb 1.85-2.01
19 Nb 0.2234 0.6722 0.8899  4 O 1.85-2.01
20 O 0.0946 0.4861 0.3847  1 P 1.54
21 O 0.9978 0.7097 0.2696  1 Nb 1.81
22 O 0.5191 0.3847 0.5139  1 P 1.54
23 O 0.2009 0.9551 0.6039  2 Nb 1.89-1.97
24 O 0.1461 0.2003 0.4901  2 Nb 1.96-2.06
25 P 0.2492 0.5000 0.5000  4 O 1.54
26 O 0.8417 0.3962 0.9551  2 Nb 1.89-1.97
27 Nb 0.1023 0.1101 0.6723  4 O 1.85-2.01
28 Nb 0.3341 0.7844 0.5565  3 O 1.81-1.97
29 O 0.8365 0.7997 0.5099  2 Nb 1.96-2.06
30 O 0.0558 0.0628 0.8311  2 Nb 1.85-2.01
31 O 0.9771 0.2903 0.7304  1 Nb 1.81
32 O 0.6518 0.5099 0.2004  2 Nb 1.96-2.06
33 O 0.5148 0.0000 0.0000  2 Nb 1.83-2.03
34 O 0.1209 0.8311 0.9371  2 Nb 1.85-2.01
35 O 0.2546 0.3654 0.1398  2 Nb 1.99-2.01

***

(5)
The following is a DFT calculation (meta-GGA SCAN) of a PBEsol-optimized structure of MnSi2Ag.

Results
- Raw total energy: -17.001 eV/atom
- Total magnetization: 3.48 μB per formula unit
- Space group: No. 216
- E above lowest polymorph: 29.3 kJ per mole of atoms

Cell: 4.3466 4.3466 4.3466 Å, 60.00 60.00 60.00°
Last column: nearest neighbours and their distance in Å.
Atoms (fractional coordinates):
1 Si 0.7500 0.7500 0.7500  4 Si 2.66, 4 Ag 2.66
2 Mn 0.2500 0.2500 0.2500  4 Si 2.66, 4 Ag 2.66
3 Ag 0.5000 0.5000 0.5000  4 Mn 2.66, 4 Si 2.66
4 Si 0.0000 0.0000 0.0000  4 Mn 2.66, 4 Si 2.66

***

(6)
The following is a DFT calculation (meta-GGA SCAN) of a PBEsol-optimized structure of Cd2InAs2.

Results
- Raw total energy: -26.859 eV/atom
- Total magnetization: 0.00 μB per formula unit
- Space group: No. 139

Cell: 4.3977 4.3977 6.8533 Å, 108.71 108.71 90.00°
Last column: nearest neighbours and their distance in Å.
Atoms (fractional coordinates):
1 Cd 0.7500 0.2500 0.5000  4 As 2.77
2 As 0.3880 0.3880 0.7761  1 As 2.73, 4 Cd 2.77
3 In 0.0000 0.0000 0.0000  8 As 3.40, 8 Cd 3.76
4 Cd 0.2500 0.7500 0.5000  4 As 2.77
5 As 0.6120 0.6120 0.2239  1 As 2.73, 4 Cd 2.77

***

(7)
The following is a DFT calculation (meta-GGA SCAN) of a PBEsol-optimized structure of Zr2CBrF.

Results
- Raw total energy: -17.827 eV/atom
- Total magnetization: 1.50 μB per formula unit
- Space group: No. 123

Cell: 3.9287 4.9056 4.9056 Å, 90.00 90.00 90.00°
Last column: nearest neighbours and their distance in Å.
Atoms (fractional coordinates):
1 Zr 0.0000 0.5000 0.0000  2 Br 2.45
2 C 0.5000 0.0000 0.0000  2 Br 1.96
3 F 0.5000 0.5000 0.5000  8 Zr 3.14, 4 C 3.47
4 Zr 0.0000 0.0000 0.5000  2 Br 2.45
5 Br 0.0000 0.0000 0.0000  2 C 1.96

***

(8)
The following is a DFT calculation (meta-GGA SCAN) of a PBEsol-optimized structure of CdCo2IrPb.

Results
- Raw total energy: -40.888 eV/atom
- Total magnetization: 3.89 μB per formula unit
- Space group: No. 123

Cell: 4.6647 4.6647 4.9696 Å, 90.00 90.00 90.00°
Last column: nearest neighbours and their distance in Å.
Atoms (fractional coordinates):
1 Cd 0.5000 0.5000 0.5000  4 Ir 3.30, 8 Co 3.41
2 Co 0.0000 0.5000 0.0000  2 Pb 2.33
3 Co 0.5000 0.0000 0.0000  2 Pb 2.33
4 Pb 0.0000 0.0000 0.0000  4 Co 2.33, 2 Ir 2.48
5 Ir 0.0000 0.0000 0.5000  2 Pb 2.48

***

(9)
The following is a DFT calculation (meta-GGA SCAN) of a PBEsol-optimized structure of RuPb2Se.

Results
- Raw total energy: -51.375 eV/atom
- Total magnetization: 0.00 μB per formula unit
- Space group: No. 71

Cell: 3.2569 4.1187 7.3628 Å, 106.24 102.78 90.00°
Last column: nearest neighbours and their distance in Å.
Atoms (fractional coordinates):
1 Pb 0.3294 0.3294 0.6588  2 Ru 2.86, 2 Se 3.12
2 Pb 0.6706 0.6706 0.3412  2 Ru 2.86, 2 Se 3.12
3 Ru 0.0000 0.5000 0.0000  4 Se 2.63, 4 Pb 2.86
4 Se 0.5000 0.0000 0.0000  4 Ru 2.63

***

(10)
The following is a DFT calculation (meta-GGA SCAN) of a PBEsol-optimized structure of Ba3YPt.

Results
- Raw total energy: -42.344 eV/atom
- Total magnetization: 0.00 μB per formula unit
- Space group: No. 221

Cell: 5.9387 5.9387 5.9387 Å, 90.00 90.00 90.00°
Last column: nearest neighbours and their distance in Å.
Atoms (fractional coordinates):
1 Ba 0.5000 0.0000 0.0000  2 Y 2.97
2 Ba 0.0000 0.0000 0.5000  2 Y 2.97
3 Pt 0.5000 0.5000 0.5000  12 Ba 4.20
4 Y 0.0000 0.0000 0.0000  6 Ba 2.97
5 Ba 0.0000 0.5000 0.0000  2 Y 2.97

***

(11)
The following is a DFT calculation (meta-GGA SCAN) of a PBEsol-optimized structure of Sc3Ru5.

Results
- Raw total energy: -27.513 eV/atom
- Total magnetization: 1.73 μB per formula unit
- Space group: No. 65

Cell: 4.3893 5.4087 5.4087 Å, 109.46 90.00 90.00°
Last column: nearest neighbours and their distance in Å.
Atoms (fractional coordinates):
1 Ru 0.5000 0.2435 0.2435  6 Sc 2.66-2.75, 2 Ru 2.67
2 Ru 0.0000 0.0000 0.5000  6 Sc 2.69-2.70, 2 Ru 2.70
3 Ru 0.0000 0.5000 0.0000  6 Sc 2.69-2.70, 2 Ru 2.70
4 Ru 0.0000 0.0000 0.0000  8 Ru 2.67-2.70
5 Sc 0.5000 0.2467 0.7533  8 Ru 2.66-2.75
6 Sc 0.5000 0.7533 0.2467  8 Ru 2.66-2.75
7 Ru 0.5000 0.7565 0.7565  6 Sc 2.66-2.75, 2 Ru 2.67
8 Sc 0.0000 0.5000 0.5000  8 Ru 2.70-2.72

***

(12)
The following is a DFT calculation (meta-GGA SCAN) of a PBEsol-optimized structure of Sr2Al.

Results
- Raw total energy: -17.516 eV/atom
- Total magnetization: 0.06 μB per formula unit
- Space group: No. 139

Cell: 3.9548 3.9548 7.5662 Å, 105.15 105.15 90.00°
Last column: nearest neighbours and their distance in Å.
Atoms (fractional coordinates):
1 Al 0.5000 0.5000 0.0000  8 Sr 3.37
2 Sr 0.8667 0.8667 0.7334  4 Al 3.37, 1 Sr 3.75
3 Sr 0.1333 0.1333 0.2666  4 Al 3.37, 1 Sr 3.75

***

(13)
The following is a DFT calculation (meta-GGA SCAN) of a PBEsol-optimized structure of ScH2Pd2.

Results
- Raw total energy: -17.902 eV/atom
- Total magnetization: 0.00 μB per formula unit
- Space group: No. 139

Cell: 3.5213 3.5213 5.0167 Å, 110.55 110.55 90.00°
Last column: nearest neighbours and their distance in Å.
Atoms (fractional coordinates):
1 H 0.7500 0.2500 0.5000  4 Pd 1.92
2 Pd 0.6611 0.6611 0.3222  4 H 1.92
3 H 0.2500 0.7500 0.5000  4 Pd 1.92
4 Sc 0.0000 0.0000 0.0000  8 H 2.80, 10 Pd 2.86-2.95
5 Pd 0.3389 0.3389 0.6778  4 H 1.92